1.
Material: Cs2TiCoO4
Method: DFT, PBE+U
State: relaxed

Computed properties:
Total magnetization, μB per cell: 24.30
Final energy, eV/cell: -403.11

abc: 5.141 12.764 21.924
angles: 90.00 90.00 90.00
Space group Fddd (No. 70, origin choice 2)
Symmetry-distinct sites (fractional):
Cs (0.125, 0.125, 0.297) (multiplicity 16)
Ti (0.125, 0.125, 0.625) (multiplicity 8)
Co (0.125, 0.125, 0.125) (multiplicity 8)
O (0.106, 0.294, 0.831) (multiplicity 32)

2.
Material: CsTlCoO4
Method: DFT, PBE+U
State: relaxed

Computed properties:
Total magnetization, μB per cell: 6.00
Final energy, eV/cell: -67.85

abc: 5.898 6.177 7.826
angles: 90.00 108.14 90.00
Space group P2_1/m (No. 11)
Symmetry-distinct sites (fractional):
Cs (0.204, 0.250, 0.430) (multiplicity 2)
Tl (0.313, 0.250, 0.960) (multiplicity 2)
Co (0.244, 0.750, 0.154) (multiplicity 2)
O (0.025, 0.750, 0.952) (multiplicity 2)
O (0.048, 0.750, 0.282) (multiplicity 2)
O (0.452, 0.524, 0.174) (multiplicity 4)

3.
Material: CsTmCoO3
Method: DFT, PBE+U
State: relaxed

Computed properties:
Total magnetization, μB per cell: 6.00
Final energy, eV/cell: -76.08

abc: 8.170 3.544 8.478
angles: 90.00 110.47 90.00
Space group P2_1/m (No. 11)
Symmetry-distinct sites (fractional):
Cs (0.222, 0.250, 0.233) (multiplicity 2)
Tm (0.341, 0.750, 0.861) (multiplicity 2)
Co (0.073, 0.250, 0.621) (multiplicity 2)
O (0.161, 0.250, 0.861) (multiplicity 2)
O (0.162, 0.750, 0.568) (multiplicity 2)
O (0.482, 0.750, 0.133) (multiplicity 2)